(1)
Below is a relaxed structure of ReHgSe2, with properties calculated at the PBE level.

Structure (POSCAR):
```
ReHgSe2
1.0
7.041 0.000 0.000
0.000 7.041 0.000
3.521 3.521 4.916
Se Re Hg
4 2 2
Direct
0.375 0.485 0.750 Se
0.515 0.125 0.250 Se
0.235 0.625 0.250 Se
0.875 0.765 0.750 Se
0.500 0.500 0.000 Re
0.250 0.750 0.500 Re
0.000 0.000 0.000 Hg
0.750 0.250 0.500 Hg
```

Values from the calculation:
The space group is No. 122. Its total magnetization is 0.0 μB/f.u. The density of states at the Fermi level comes out at 3.85 states/eV per cell. Its energy relative to the elements, uncorrected is 0.27 eV/atom.


(2)
Below is a relaxed structure of ReHgSe2, with properties calculated at the PBE level.

Structure (POSCAR):
```
ReHgSe2
1.0
3.214 0.000 0.000
0.000 2.873 -0.017
0.000 0.855 10.288
Se Re Hg
2 1 1
Direct
0.000 0.699 0.934 Se
0.000 0.801 0.566 Se
0.500 0.750 0.750 Re
0.500 0.250 0.250 Hg
```

Values from the calculation:
The space group is No. 10. Its total magnetization is 0.0 μB/f.u. The density of states at the Fermi level comes out at 3.20 states/eV per cell. Its energy relative to the elements, uncorrected is 0.20 eV/atom.


(3)
Below is a relaxed structure of ReHg2Se, with properties calculated at the PBE level.

Structure (POSCAR):
```
ReHg2Se
1.0
-6.193 1.249 2.189
0.860 -3.879 -3.737
-1.058 -1.937 1.768
Hg Re Se
2 1 1
Direct
0.500 0.000 0.500 Hg
0.000 0.000 0.000 Hg
0.000 0.500 0.500 Re
0.500 0.500 0.000 Se
```

Values from the calculation:
The space group is No. 65. Its total magnetization is 0.0 μB/f.u. The density of states at the Fermi level comes out at 4.04 states/eV per cell. Its energy relative to the elements, uncorrected is 0.85 eV/atom.


(4)
Below is a relaxed structure of ReHgSe2, with properties calculated at the PBE level.

Structure (POSCAR):
```
ReHgSe2
1.0
3.052 0.000 0.000
0.000 3.052 0.000
0.000 0.000 9.644
Se Hg Re
2 1 1
Direct
0.000 0.000 0.912 Se
0.000 0.000 0.588 Se
0.500 0.500 0.250 Hg
0.500 0.500 0.750 Re
```

Values from the calculation:
The space group is No. 123. Its total magnetization is 0.0 μB/f.u. The density of states at the Fermi level comes out at 1.73 states/eV per cell. Its energy relative to the elements, uncorrected is 0.05 eV/atom.


(5)
Below is a relaxed structure of ReHgSe2, with properties calculated at the PBE level.

Structure (POSCAR):
```
ReHgSe2
1.0
-4.539 1.363 -4.472
0.700 -0.379 -6.468
-0.178 -2.468 6.028
Se Re Hg
2 1 1
Direct
0.428 0.428 0.000 Se
0.072 0.072 0.000 Se
0.250 0.750 0.500 Re
0.750 0.250 0.500 Hg
```

Values from the calculation:
The space group is No. 71. Its total magnetization is 0.0 μB/f.u. The density of states at the Fermi level comes out at 3.86 states/eV per cell. Its energy relative to the elements, uncorrected is 0.29 eV/atom.


(6)
Below is a relaxed structure of ReHgSe2, with properties calculated at the PBE level.

Structure (POSCAR):
```
ReHgSe2
1.0
4.793 0.000 0.000
0.000 2.650 0.001
0.000 1.329 7.055
Re Hg Se
1 1 2
Direct
0.500 0.778 0.822 Re
0.000 0.416 0.534 Hg
0.000 0.709 0.960 Se
0.500 0.597 0.184 Se
```

Values from the calculation:
The space group is No. 6. Its total magnetization is 0.0 μB/f.u. The density of states at the Fermi level comes out at 2.07 states/eV per cell. Its energy relative to the elements, uncorrected is 0.60 eV/atom.


(7)
Below is a relaxed structure of ReHg2Se, with properties calculated at the PBE level.

Structure (POSCAR):
```
ReHg2Se
1.0
5.745 0.035 0.000
2.922 4.947 0.000
-4.333 -2.491 2.833
Se Re Hg
1 1 2
Direct
0.750 0.250 0.500 Se
0.250 0.750 0.500 Re
0.000 0.000 0.000 Hg
0.500 0.500 0.000 Hg
```

Values from the calculation:
The space group is No. 139. Its total magnetization is 2.3 μB/f.u. The density of states at the Fermi level comes out at 3.65 states/eV per cell. Its energy relative to the elements, uncorrected is 1.01 eV/atom.


(8)
Below is a relaxed structure of ReHgSe2, with properties calculated at the PBE level.

Structure (POSCAR):
```
ReHgSe2
1.0
-0.084 4.187 4.981
0.859 1.456 6.284
4.989 3.066 2.813
Se Re Hg
2 1 1
Direct
0.240 0.240 0.193 Se
0.079 0.079 0.923 Se
0.731 0.731 0.915 Re
0.451 0.451 0.470 Hg
```

Values from the calculation:
The space group is No. 8. Its total magnetization is 0.0 μB/f.u. The density of states at the Fermi level comes out at 2.98 states/eV per cell. Its energy relative to the elements, uncorrected is 0.18 eV/atom.


Q: Number 2 is which compound?
A: ReHgSe2


Copy entry 8 word for word.
Below is a relaxed structure of ReHgSe2, with properties calculated at the PBE level.

Structure (POSCAR):
```
ReHgSe2
1.0
-0.084 4.187 4.981
0.859 1.456 6.284
4.989 3.066 2.813
Se Re Hg
2 1 1
Direct
0.240 0.240 0.193 Se
0.079 0.079 0.923 Se
0.731 0.731 0.915 Re
0.451 0.451 0.470 Hg
```

Values from the calculation:
The space group is No. 8. Its total magnetization is 0.0 μB/f.u. The density of states at the Fermi level comes out at 2.98 states/eV per cell. Its energy relative to the elements, uncorrected is 0.18 eV/atom.